(1)
A relaxed structure of NdAgTe3Pb. Source: the Open Quantum Materials Database, functional PBE.

Properties
- Energy relative to the lowest polymorph listed for this composition: 0.028 eV/atom
- Size of the total moment: 0.01 μB per cell

Lattice parameters (Å, degrees): 12.5493 4.5844 12.8815 90.00 90.00 90.00
Last column: nearest neighbours and their distance in Å.
Space group Pnma (No. 62)
Symmetry-distinct sites (fractional):
Nd 0.0244 0.2500 0.1896 (multiplicity 4)  7 Te 3.22-3.48
Ag 0.2371 0.7500 0.2918 (multiplicity 4)  4 Te 2.78-2.83
Te 0.0304 0.7500 0.3693 (multiplicity 4)  1 Ag 2.78
Te 0.0970 0.2500 0.9405 (multiplicity 4)  1 Ag 2.83
Te 0.2147 0.7500 0.6743 (multiplicity 4)  2 Ag 2.81
Pb 0.1909 0.2500 0.4836 (multiplicity 4)  7 Te 3.36-3.56, 2 Ag 3.42

=====

(2)
A relaxed structure of LaErAg2Bi4. Source: the Open Quantum Materials Database, functional PBE.

Properties
- Size of the total moment: 0.00 μB per cell
- VASP energy: -4.42 eV/atom

Lattice parameters (Å, degrees): 4.5684 4.5684 10.4066 90.00 90.00 90.00
Last column: nearest neighbours and their distance in Å.
Space group P4mm (No. 99)
Symmetry-distinct sites (fractional):
La 0.0000 0.0000 0.0000 (multiplicity 1)  8 Bi 3.31-3.50, 4 Ag 3.53
Er 0.5000 0.5000 0.4981 (multiplicity 1)  8 Bi 3.29-3.41, 4 Ag 3.41
Ag 0.0000 0.5000 0.7418 (multiplicity 2)  4 Bi 2.98-3.00, 4 Ag 3.23
Bi 0.0000 0.0000 0.5582 (multiplicity 1)  4 Ag 2.98, 4 Er 3.29
Bi 0.0000 0.5000 0.2551 (multiplicity 2)  4 Bi 3.23, 2 Er 3.41, 2 La 3.50
Bi 0.5000 0.5000 0.9291 (multiplicity 1)  4 Ag 3.00, 4 La 3.31

=====

(3)
A relaxed structure of LuZnFeCo. Source: the Open Quantum Materials Database, functional PBE.

Properties
- Energy relative to the lowest polymorph listed for this composition: 0.038 eV/atom
- Size of the total moment: 7.01 μB per cell

Lattice parameters (Å, degrees): 6.1501 6.1501 6.1501 90.00 90.00 90.00
Last column: nearest neighbours and their distance in Å.
Space group F-43m (No. 216)
Symmetry-distinct sites (fractional):
Lu 0.0000 0.0000 0.0000 (multiplicity 4)  4 Fe 2.66, 4 Co 2.66
Zn 0.0000 0.0000 0.5000 (multiplicity 4)  4 Co 2.66, 4 Fe 2.66
Fe 0.2500 0.2500 0.2500 (multiplicity 4)  4 Zn 2.66, 4 Lu 2.66
Co 0.2500 0.2500 0.7500 (multiplicity 4)  4 Zn 2.66, 4 Lu 2.66

=====

(4)
A relaxed structure of ErLu. Source: the Open Quantum Materials Database, functional PBE.

Properties
- Energy relative to the lowest polymorph listed for this composition: 0.000 eV/atom
- Size of the total moment: 0.10 μB per cell

Lattice parameters (Å, degrees): 5.4960 7.0662 12.2389 90.00 90.00 90.00
Last column: nearest neighbours and their distance in Å.
Space group Amm2 (No. 38)
Symmetry-distinct sites (fractional):
Er 0.0000 0.0000 0.0000 (multiplicity 2)  8 Lu 3.42-3.53, 4 Er 3.53
Er 0.0000 0.2493 0.7500 (multiplicity 4)  6 Lu 3.42-3.54, 6 Er 3.43-3.54
Er 0.5000 0.0000 0.3335 (multiplicity 2)  8 Lu 3.42-3.53, 4 Er 3.43
Lu 0.0000 0.0000 0.5005 (multiplicity 2)  4 Lu 3.42, 8 Er 3.42-3.54
Lu 0.5000 0.0000 0.8330 (multiplicity 2)  8 Er 3.42-3.53, 4 Lu 3.52-3.54
Lu 0.5000 0.2493 0.5836 (multiplicity 4)  6 Lu 3.42-3.54, 6 Er 3.42-3.53

=====

(5)
A relaxed structure of LaAlGeAu2. Source: the Open Quantum Materials Database, functional PBE.

Properties
- Size of the total moment: 0.00 μB per cell
- VASP energy: -4.70 eV/atom

Lattice parameters (Å, degrees): 4.4129 4.4129 10.8776 90.00 90.00 90.00
Last column: nearest neighbours and their distance in Å.
Space group P4/nmm (No. 129, origin choice 2)
Symmetry-distinct sites (fractional):
La 0.2500 0.2500 0.2412 (multiplicity 2)  4 Ge 3.31, 8 Au 3.43-3.44, 4 Al 3.58
Al 0.2500 0.7500 0.5000 (multiplicity 2)  4 Au 2.59
Ge 0.2500 0.2500 0.8599 (multiplicity 2)  5 Au 2.55-2.68
Au 0.2500 0.2500 0.6254 (multiplicity 2)  1 Ge 2.55, 4 Al 2.59
Au 0.2500 0.7500 0.0000 (multiplicity 2)  4 Ge 2.68

=====

(6)
A relaxed structure of NaTcAuSe3. Source: the Open Quantum Materials Database, functional PBE.

Properties
- Energy relative to the lowest polymorph listed for this composition: 0.066 eV/atom
- Size of the total moment: 0.16 μB per cell

Lattice parameters (Å, degrees): 16.7418 3.6803 8.5122 90.00 99.71 90.00
Last column: nearest neighbours and their distance in Å.
Space group C2/m (No. 12)
Symmetry-distinct sites (fractional):
Na 0.1250 0.0000 0.0806 (multiplicity 4)  3 Se 2.78-2.85
Tc 0.1600 0.0000 0.5944 (multiplicity 4)  6 Se 2.55-2.66
Au 0.0512 0.5000 0.7328 (multiplicity 4)  4 Se 2.56-2.73
Se 0.0000 0.0000 0.5000 (multiplicity 2)  2 Tc 2.66, 4 Au 2.73
Se 0.0000 0.5000 0.0000 (multiplicity 2)  2 Au 2.56, 4 Na 2.78
Se 0.1814 0.5000 0.3990 (multiplicity 4)  3 Tc 2.55-2.65
Se 0.2059 0.5000 0.7981 (multiplicity 4)  1 Au 2.56, 2 Tc 2.56, 1 Na 2.85

=====

(7)
A relaxed structure of HfSiPO. Source: the Open Quantum Materials Database, functional PBE.

Properties
- Energy relative to the lowest polymorph listed for this composition: 0.304 eV/atom
- Size of the total moment: 0.00 μB per cell

Lattice parameters (Å, degrees): 3.6252 5.3934 6.0574 90.00 90.00 90.00
Last column: nearest neighbours and their distance in Å.
Space group Pmc2_1 (No. 26)
Symmetry-distinct sites (fractional):
Hf 0.0000 0.0900 0.0000 (multiplicity 2)  2 O 2.16-2.23
Si 0.5000 0.3477 0.3056 (multiplicity 2)  2 O 1.86
P 0.5000 0.2177 0.6993 (multiplicity 2)  2 Si 2.43-2.49, 2 Hf 2.66
O 0.0000 0.2695 0.3197 (multiplicity 2)  2 Si 1.86

=====

(8)
A relaxed structure of AcNdPO. Source: the Open Quantum Materials Database, functional PBE.

Properties
- Energy relative to the lowest polymorph listed for this composition: 0.000 eV/atom
- Size of the total moment: 0.03 μB per cell

Lattice parameters (Å, degrees): 4.4797 7.9065 6.2708 90.00 90.00 90.00
Last column: nearest neighbours and their distance in Å.
Space group Pmc2_1 (No. 26)
Symmetry-distinct sites (fractional):
Ac 0.0000 0.2007 0.0000 (multiplicity 2)  2 O 2.52
Nd 0.5000 0.3806 0.5573 (multiplicity 2)  2 O 2.36-2.38
P 0.0000 0.1763 0.4977 (multiplicity 2)  2 Nd 2.79, 1 Ac 2.98
O 0.5000 0.3355 0.9300 (multiplicity 2)  2 Nd 2.36-2.38, 2 Ac 2.52

=====

(9)
A relaxed structure of Sb2Pd7. Source: the Open Quantum Materials Database, functional PBE.

Properties
- VASP energy: -4.89 eV/atom

Lattice parameters (Å, degrees): 2.9631 2.9631 27.1429 90.00 90.00 120.00
Last column: nearest neighbours and their distance in Å.
Space group P-3m1 (No. 164)
Symmetry-distinct sites (fractional):
Sb 0.3333 0.6667 0.1812 (multiplicity 2)  3 Pd 2.75, 6 Sb 2.96
Pd 0.0000 0.0000 0.2604 (multiplicity 2)  3 Sb 2.75, 9 Pd 2.80-2.96
Pd 0.0000 0.0000 0.5000 (multiplicity 1)  12 Pd 2.73-2.96
Pd 0.3333 0.6667 0.4214 (multiplicity 2)  12 Pd 2.73-2.96
Pd 0.3333 0.6667 0.6581 (multiplicity 2)  12 Pd 2.75-2.96

=====

(10)
A relaxed structure of TlCuIrSeS2. Source: the Open Quantum Materials Database, functional PBE.

Properties
- Size of the total moment: 0.08 μB per cell
- VASP energy: -4.64 eV/atom

Lattice parameters (Å, degrees): 3.6465 14.5347 9.6288 90.00 90.00 90.00
Last column: nearest neighbours and their distance in Å.
Space group Cmcm (No. 63)
Symmetry-distinct sites (fractional):
Tl 0.0000 0.2376 0.2500 (multiplicity 4)  2 Cu 3.32, 6 S 3.35-3.55, 2 Se 3.37, 2 Tl 3.65
Cu 0.0000 0.4534 0.7500 (multiplicity 4)  2 S 2.25, 2 Se 2.47
Ir 0.0000 0.0000 0.0000 (multiplicity 4)  4 S 2.42, 2 Se 2.60
Se 0.0000 0.0677 0.7500 (multiplicity 4)  2 Cu 2.47, 2 Ir 2.60
S 0.0000 0.3930 0.5345 (multiplicity 8)  1 Cu 2.25, 2 Ir 2.42

=====

(11)
A relaxed structure of Ho2TmSc3Bi2Os. Source: the Open Quantum Materials Database, functional PBE.

Properties
- Size of the total moment: 0.00 μB per cell
- VASP energy: -6.38 eV/atom

Lattice parameters (Å, degrees): 4.2145 13.6698 7.8913 90.00 90.00 90.00
Last column: nearest neighbours and their distance in Å.
Space group Amm2 (No. 38)
Symmetry-distinct sites (fractional):
Ho 0.0000 0.1932 0.0000 (multiplicity 4)  1 Os 3.06, 4 Bi 3.23-3.24, 4 Sc 3.39
Tm 0.0000 0.0000 0.5782 (multiplicity 2)  1 Os 3.01, 4 Bi 3.23
Sc 0.5000 0.0000 0.9709 (multiplicity 2)  2 Os 2.76, 2 Sc 3.06
Sc 0.5000 0.1126 0.3062 (multiplicity 4)  2 Os 2.75, 2 Sc 3.06-3.08
Bi 0.5000 0.1658 0.6931 (multiplicity 4)  3 Sc 3.14-3.16, 2 Tm 3.23, 4 Ho 3.23-3.24
Os 0.0000 0.0000 0.1966 (multiplicity 2)  6 Sc 2.75-2.76, 1 Tm 3.01, 2 Ho 3.06

=====

(12)
A relaxed structure of RbBaTbTe3. Source: the Open Quantum Materials Database, functional PBE.

Properties
- Energy relative to the lowest polymorph listed for this composition: 0.196 eV/atom
- Size of the total moment: 0.05 μB per cell

Lattice parameters (Å, degrees): 4.6573 22.1120 13.3345 90.00 90.00 90.00
Last column: nearest neighbours and their distance in Å.
Space group Cmcm (No. 63)
Symmetry-distinct sites (fractional):
Rb 0.0000 0.1292 0.2500 (multiplicity 4)  4 Te 3.45-3.58
Ba 0.0000 0.0996 0.7500 (multiplicity 4)  4 Te 3.30
Tb 0.0000 0.5000 0.0000 (multiplicity 4)  6 Te 3.15-3.34
Te 0.0000 0.0957 0.5023 (multiplicity 8)  2 Tb 3.15, 1 Ba 3.30, 1 Rb 3.45
Te 0.0000 0.4940 0.7500 (multiplicity 4)  2 Ba 3.30, 2 Tb 3.34, 2 Rb 3.58